[1]
VASP calculation (PBE) on a relaxed Cd3InGa crystal.

abc: 3.114 7.050 11.143
angles: 81.80 87.52 71.69
Atoms (fractional coordinates):
Cd1 0.147 0.693 0.447
Cd2 0.317 0.276 0.023
Cd3 0.053 0.916 0.175
Cd4 0.853 0.307 0.553
Cd5 0.947 0.084 0.825
Cd6 0.683 0.724 0.977
In1 0.270 0.544 0.756
In2 0.730 0.456 0.244
Ga1 0.561 0.912 0.631
Ga2 0.439 0.088 0.369

Density   7.5 Mg/m³
DOS(E_F)   3.34 states/eV per cell
Final energy   -16.7 eV per cell
Energy above the lowest structure with this stoichiometry   0.000 eV per atom
Calculated formation energy   0.03 eV/atom

=====

[2]
VASP calculation (PBE) on a relaxed Cd3InGa crystal.

abc: 5.235 5.235 5.235
angles: 90.00 90.00 90.00
Atoms (fractional coordinates):
Cd1 0.000 0.500 0.000
Cd2 0.000 0.000 0.500
Cd3 0.500 0.000 0.000
Ga1 0.000 0.000 0.000
In1 0.500 0.500 0.500

Density   6.0 Mg/m³
DOS(E_F)   2.60 states/eV per cell
Final energy   -7.3 eV per cell
Energy above the lowest structure with this stoichiometry   0.207 eV per atom
Calculated formation energy   0.24 eV/atom

=====

[3]
VASP calculation (PBE) on a relaxed Cd2InGa crystal.

abc: 4.891 4.891 5.528
angles: 63.74 63.74 60.00
Atoms (fractional coordinates):
Cd1 0.046 0.046 0.863
Cd2 0.263 0.263 0.212
In1 0.492 0.492 0.524
Ga1 0.700 0.700 0.901

Density   6.9 Mg/m³
DOS(E_F)   1.14 states/eV per cell
Final energy   -7.3 eV per cell
Energy above the lowest structure with this stoichiometry   0.043 eV per atom
Calculated formation energy   0.08 eV/atom

=====

[4]
VASP calculation (PBE) on a relaxed CdIn2Ga2 crystal.

abc: 3.826 3.826 8.731
angles: 77.34 77.34 90.00
Atoms (fractional coordinates):
Cd1 0.000 0.000 0.000
Ga1 0.750 0.250 0.500
Ga2 0.250 0.750 0.500
In1 0.395 0.395 0.209
In2 0.605 0.605 0.791

Density   6.6 Mg/m³
DOS(E_F)   2.59 states/eV per cell
Final energy   -12.0 eV per cell
Calculated formation energy   0.08 eV/atom

=====

[5]
VASP calculation (PBE) on a relaxed Cd6In12Ga crystal.

abc: 8.621 8.621 8.621
angles: 109.88 109.88 109.88
Atoms (fractional coordinates):
Cd1 0.687 0.790 0.537
Cd2 0.463 0.313 0.210
Cd3 0.210 0.463 0.313
Cd4 0.313 0.210 0.463
Cd5 0.537 0.687 0.790
Cd6 0.790 0.537 0.687
In1 0.925 0.614 0.408
In2 0.408 0.925 0.614
In3 0.614 0.408 0.925
In4 0.075 0.386 0.592
In5 0.592 0.075 0.386
In6 0.386 0.592 0.075
In7 0.845 0.901 0.265
In8 0.099 0.735 0.155
In9 0.735 0.155 0.099
In10 0.155 0.099 0.735
In11 0.901 0.265 0.845
In12 0.265 0.845 0.901
Ga1 0.000 0.000 0.000

Density   7.3 Mg/m³
DOS(E_F)   8.64 states/eV per cell
Final energy   -40.6 eV per cell
Calculated formation energy   0.04 eV/atom

=====

[6]
VASP calculation (PBE) on a relaxed Cd6In5Ga crystal.

abc: 4.683 8.612 8.612
angles: 105.37 107.14 107.14
Atoms (fractional coordinates):
In1 0.500 0.163 0.837
In2 0.000 0.333 0.667
In3 0.500 0.500 0.500
In4 0.000 0.667 0.333
In5 0.500 0.837 0.163
Ga1 0.000 0.000 0.000
Cd1 0.246 0.082 0.410
Cd2 0.754 0.590 0.918
Cd3 0.740 0.245 0.245
Cd4 0.260 0.755 0.755
Cd5 0.246 0.410 0.082
Cd6 0.754 0.918 0.590

Density   7.5 Mg/m³
DOS(E_F)   4.29 states/eV per cell
Final energy   -21.7 eV per cell
Calculated formation energy   0.04 eV/atom

=====

[7]
VASP calculation (PBE) on a relaxed CdIn8Ga2 crystal.

abc: 5.690 6.349 8.822
angles: 111.09 105.63 90.00
Atoms (fractional coordinates):
In1 0.492 0.341 0.189
In2 0.508 0.151 0.811
In3 0.951 0.800 0.600
In4 0.049 0.200 0.400
In5 0.492 0.849 0.189
In6 0.508 0.659 0.811
In7 0.971 0.592 0.185
In8 0.029 0.408 0.815
Ga1 0.412 0.741 0.483
Ga2 0.588 0.259 0.517
Cd1 0.000 0.000 0.000

Density   6.8 Mg/m³
DOS(E_F)   4.45 states/eV per cell
Final energy   -28.3 eV per cell
Energy above the lowest structure with this stoichiometry   0.000 eV per atom
Calculated formation energy   0.05 eV/atom

=====

[8]
VASP calculation (PBE) on a relaxed CdInGa crystal.

abc: 5.317 8.863 3.191
angles: 80.18 90.74 71.66
Atoms (fractional coordinates):
In1 0.305 0.752 0.017
In2 0.753 0.847 0.475
Ga1 0.786 0.170 0.290
Ga2 0.493 0.435 0.662
Cd1 0.967 0.485 0.141
Cd2 0.275 0.141 0.817

Density   7.0 Mg/m³
DOS(E_F)   2.60 states/eV per cell
Final energy   -13.0 eV per cell
Calculated formation energy   0.06 eV/atom

=====

[9]
VASP calculation (PBE) on a relaxed Cd2In5Ga2 crystal.

abc: 5.377 5.440 8.431
angles: 90.06 108.60 90.00
Atoms (fractional coordinates):
Cd1 0.696 0.498 0.392
Cd2 0.304 0.502 0.608
In1 0.602 0.998 0.204
In2 0.398 0.002 0.796
In3 0.896 0.499 0.793
In4 0.104 0.501 0.207
In5 0.000 0.000 0.000
Ga1 0.791 0.998 0.582
Ga2 0.209 0.002 0.418

Density   6.7 Mg/m³
DOS(E_F)   3.52 states/eV per cell
Final energy   -20.9 eV per cell
Calculated formation energy   0.08 eV/atom

=====

[10]
VASP calculation (PBE) on a relaxed Cd2In2Ga crystal.

abc: 7.227 8.353 5.498
angles: 109.84 121.58 99.82
Atoms (fractional coordinates):
Cd1 0.234 0.682 0.827
Cd2 0.219 0.864 0.395
Cd3 0.766 0.318 0.173
Cd4 0.781 0.136 0.605
In1 0.267 0.092 0.049
In2 0.260 0.293 0.648
In3 0.740 0.707 0.352
In4 0.733 0.908 0.951
Ga1 0.261 0.498 0.258
Ga2 0.739 0.502 0.742

Density   7.3 Mg/m³
DOS(E_F)   2.98 states/eV per cell
Final energy   -20.2 eV per cell
Energy above the lowest structure with this stoichiometry   0.000 eV per atom
Calculated formation energy   0.04 eV/atom

=====

[11]
VASP calculation (PBE) on a relaxed CdIn4Ga crystal.

abc: 6.174 6.174 6.174
angles: 60.00 60.00 60.00
Atoms (fractional coordinates):
Cd1 0.250 0.250 0.250
Ga1 0.000 0.000 0.000
In1 0.625 0.625 0.125
In2 0.625 0.125 0.625
In3 0.625 0.625 0.625
In4 0.125 0.625 0.625

Density   6.4 Mg/m³
DOS(E_F)   3.23 states/eV per cell
Final energy   -13.8 eV per cell
Energy above the lowest structure with this stoichiometry   0.144 eV per atom
Calculated formation energy   0.18 eV/atom

=====

[12]
VASP calculation (PBE) on a relaxed CdIn2Ga2 crystal.

abc: 3.750 4.279 7.645
angles: 106.25 90.00 90.00
Atoms (fractional coordinates):
Cd1 0.000 0.000 0.000
In1 0.500 0.615 0.230
In2 0.500 0.385 0.770
Ga1 0.000 0.196 0.392
Ga2 0.000 0.804 0.608

Density   6.8 Mg/m³
DOS(E_F)   2.04 states/eV per cell
Final energy   -12.2 eV per cell
Calculated formation energy   0.05 eV/atom